First-principles (PBE) data for a relaxed structure of Zr2Hg2Pd, as listed in the Open Quantum Materials Database.

M_tot, μB per atom: 0.001
DFT formation energy, meV/atom: 281

Geometry as extended XYZ:
```
5
Lattice="-2.060 2.060 6.608 2.060 -2.060 6.608 2.060 2.060 -6.608" Properties=species:S:1:pos:R:3 pbc="T T T"
Hg 0.000 0.000 5.324
Hg 0.000 0.000 7.892
Pd 0.000 0.000 0.000
Zr 0.000 2.060 3.304
Zr 2.060 0.000 3.304
```

=====

First-principles (PBE) data for a relaxed structure of Pm3Hg5, as listed in the Open Quantum Materials Database.

M_tot, μB per atom: 0.004
DFT formation energy, meV/atom: -448

Geometry as extended XYZ:
```
8
Lattice="3.912 -5.217 0.000 3.912 5.217 0.000 0.000 0.000 5.185" Properties=species:S:1:pos:R:3 pbc="T T T"
Hg 1.956 -2.609 0.000
Hg 1.956 2.609 0.000
Hg 3.912 0.000 0.000
Hg 1.676 0.000 2.592
Hg 6.148 0.000 2.592
Pm 0.000 0.000 0.000
Pm 3.912 -2.184 2.592
Pm 3.912 2.184 2.592
```

=====

First-principles (PBE) data for a relaxed structure of Pm2Hg, as listed in the Open Quantum Materials Database.

Distance to the lowest polymorph of the same formula, meV/atom: 571.8
M_tot, μB per atom: 0.149
DFT formation energy, meV/atom: 233

Geometry as extended XYZ:
```
6
Lattice="-1.411 1.208 6.046 2.294 5.183 2.808 -3.871 4.788 1.449" Properties=species:S:1:pos:R:3 pbc="T T T"
Hg 0.000 0.000 0.000
Hg -0.747 2.795 2.576
Pm 0.068 4.593 5.715
Pm -3.014 4.396 5.035
Pm -1.162 6.383 3.416
Pm -1.868 6.987 6.440
```

=====

First-principles (PBE) data for a relaxed structure of Pm2Hg, as listed in the Open Quantum Materials Database.

Distance to the lowest polymorph of the same formula, meV/atom: 1659.2
M_tot, μB per atom: 0.049
DFT formation energy, meV/atom: 1320

Geometry as extended XYZ:
```
6
Lattice="-3.396 -1.510 8.562 0.874 -8.411 3.950 5.831 -1.197 7.189" Properties=species:S:1:pos:R:3 pbc="T T T"
Hg 0.827 -2.780 4.925
Hg 1.654 -5.559 9.851
Pm 1.241 -4.169 7.388
Pm 1.677 -8.375 9.363
Pm -0.457 -4.925 11.669
Pm 4.156 -4.768 10.983
```

=====

First-principles (PBE) data for a relaxed structure of Pm2Hg, as listed in the Open Quantum Materials Database.

Distance to the lowest polymorph of the same formula, meV/atom: 0.0
M_tot, μB per atom: 0.003
DFT formation energy, meV/atom: -339

Geometry as extended XYZ:
```
12
Lattice="-2.717 -3.975 5.321 4.585 0.239 2.520 -2.863 7.922 4.456" Properties=species:S:1:pos:R:3 pbc="T T T"
Hg 0.138 -0.194 2.488
Hg -2.074 0.182 6.479
Hg 1.080 4.005 5.818
Hg -1.133 4.381 9.808
Pm -1.323 -2.627 5.379
Pm 1.488 -0.326 5.487
Pm 2.525 2.551 3.327
Pm -0.958 2.110 4.265
Pm -0.037 2.077 8.032
Pm -3.520 1.637 8.970
Pm -2.483 4.514 6.810
Pm 0.328 6.814 6.918
```

=====

First-principles (PBE) data for a relaxed structure of PmPrHg, as listed in the Open Quantum Materials Database.

Distance to the lowest polymorph of the same formula, meV/atom: 231.3
M_tot, μB per atom: 0.158
DFT formation energy, meV/atom: -101

Geometry as extended XYZ:
```
3
Lattice="5.136 0.104 1.080 1.789 -2.125 4.454 2.804 -4.435 -0.149" Properties=species:S:1:pos:R:3 pbc="T T T"
Hg 0.000 0.000 0.000
Pm 2.432 -1.614 1.346
Pr 7.296 -4.841 4.039
```

=====

First-principles (PBE) data for a relaxed structure of PmPrHg, as listed in the Open Quantum Materials Database.

Distance to the lowest polymorph of the same formula, meV/atom: 0.0
M_tot, μB per atom: 0.002
DFT formation energy, meV/atom: -333

Geometry as extended XYZ:
```
12
Lattice="-1.529 -7.145 -0.028 0.890 -0.211 5.155 -9.237 1.970 1.676" Properties=species:S:1:pos:R:3 pbc="T T T"
Hg -1.856 -5.141 1.440
Hg -3.817 -0.987 1.948
Hg -6.059 -4.399 4.855
Hg -8.019 -0.245 5.363
Pm -0.737 -1.102 1.412
Pm -4.713 -3.989 1.980
Pm -5.162 -1.397 4.823
Pm -9.138 -4.285 5.391
Pr -1.848 -3.250 4.174
Pr -3.685 -6.594 4.355
Pr -6.191 1.208 2.448
Pr -8.028 -2.136 2.628
```

=====

First-principles (PBE) data for a relaxed structure of RbPmHg, as listed in the Open Quantum Materials Database.

M_tot, μB per atom: 0.002
Energy, eV per atom: -1.48

Geometry as extended XYZ:
```
3
Lattice="0.000 3.826 3.826 3.826 0.000 3.826 3.826 3.826 0.000" Properties=species:S:1:pos:R:3 pbc="T T T"
Hg 1.913 1.913 1.913
Pm 0.000 0.000 0.000
Rb 5.739 5.739 5.739
```

=====

First-principles (PBE) data for a relaxed structure of PmSiHg, as listed in the Open Quantum Materials Database.

M_tot, μB per atom: 0.003
Energy, eV per atom: -3.76

Geometry as extended XYZ:
```
3
Lattice="2.314 -3.914 1.376 -0.616 -1.703 4.392 -2.381 -4.057 0.662" Properties=species:S:1:pos:R:3 pbc="T T T"
Hg -0.171 -2.419 1.607
Pm -0.512 -7.256 4.822
Si 0.000 0.000 0.000
```

=====

First-principles (PBE) data for a relaxed structure of Pm5Si2Hg, as listed in the Open Quantum Materials Database.

M_tot, μB per atom: 0.001
Energy, eV per atom: -4.90

Geometry as extended XYZ:
```
16
Lattice="-2.304 8.242 3.376 -9.076 -0.116 1.495 6.549 -5.899 2.635" Properties=species:S:1:pos:R:3 pbc="T T T"
Hg -2.845 2.031 1.218
Hg -8.535 6.094 3.653
Pm 0.000 0.000 0.000
Pm -5.690 4.063 2.435
Pm -5.667 0.565 2.045
Pm -8.843 2.832 3.404
Pm 1.510 -2.678 1.715
Pm -1.666 -0.411 3.074
Pm -3.166 2.637 4.431
Pm -6.342 4.904 5.790
Pm 4.011 -0.606 4.101
Pm 0.835 1.662 5.460
Si -3.769 5.664 4.253
Si 1.329 0.192 2.785
Si -6.161 2.034 4.720
Si -1.063 -3.438 3.252
```

=====

First-principles (PBE) data for a relaxed structure of PmSnHg, as listed in the Open Quantum Materials Database.

M_tot, μB per atom: 0.000
Energy, eV per atom: -3.26

Geometry as extended XYZ:
```
3
Lattice="-1.611 -4.719 1.264 -3.832 -0.590 3.381 -4.602 -1.659 -1.592" Properties=species:S:1:pos:R:3 pbc="T T T"
Hg -5.023 -3.484 1.526
Pm -2.511 -1.742 0.763
Sn 0.000 0.000 0.000
```

=====

First-principles (PBE) data for a relaxed structure of Pm5Sn3Hg, as listed in the Open Quantum Materials Database.

M_tot, μB per atom: 0.082
Energy, eV per atom: -4.70

Geometry as extended XYZ:
```
18
Lattice="-5.400 -5.377 -5.712 6.848 -4.025 5.254 -4.373 -0.917 4.997" Properties=species:S:1:pos:R:3 pbc="T T T"
Hg 0.000 0.000 0.000
Hg -2.186 -0.458 2.498
Pm -1.318 -4.926 -2.057
Pm 2.765 -4.476 1.599
Pm -4.969 -4.088 -2.850
Pm -0.684 -2.884 1.120
Pm 3.821 -3.118 5.020
Pm -3.504 -5.385 0.442
Pm 0.579 -4.934 4.097
Pm -4.804 -2.206 2.135
Pm -1.346 -1.824 5.231
Pm -2.241 -7.435 3.419
Sn -3.113 -2.241 -0.888
Sn 1.469 -1.735 3.215
Sn -0.187 -6.114 0.962
Sn -6.659 -4.053 0.172
Sn -2.738 -4.205 3.576
Sn 1.006 -3.207 7.036
```

=====

First-principles (PBE) data for a relaxed structure of Pm2Sn3Hg3, as listed in the Open Quantum Materials Database.

M_tot, μB per atom: 0.001
Energy, eV per atom: -3.28

Geometry as extended XYZ:
```
8
Lattice="-2.265 -2.533 -3.199 1.699 -4.027 1.986 -7.321 -0.383 5.485" Properties=species:S:1:pos:R:3 pbc="T T T"
Hg 0.849 -2.014 0.993
Hg -2.082 -3.374 0.741
Hg -5.804 -3.569 3.530
Pm -1.853 -0.097 1.388
Pm -5.468 -0.286 4.097
Sn -1.132 -1.266 -1.600
Sn -4.793 -1.458 1.143
Sn -2.811 -2.205 3.736
```

=====

First-principles (PBE) data for a relaxed structure of SrPm2Hg3, as listed in the Open Quantum Materials Database.

M_tot, μB per atom: 0.073
Energy, eV per atom: -2.51

Geometry as extended XYZ:
```
6
Lattice="3.833 0.000 0.000 0.000 3.833 0.000 0.000 0.000 11.725" Properties=species:S:1:pos:R:3 pbc="T T T"
Hg 0.000 0.000 0.000
Hg 0.000 0.000 3.698
Hg 0.000 0.000 8.027
Pm 1.917 1.917 1.883
Pm 1.917 1.917 9.842
Sr 1.917 1.917 5.863
```

=====

First-principles (PBE) data for a relaxed structure of PmTaHg, as listed in the Open Quantum Materials Database.

M_tot, μB per atom: 0.035
DFT formation energy, meV/atom: 762

Geometry as extended XYZ:
```
3
Lattice="-0.951 3.131 3.601 -4.607 0.958 1.237 -1.771 -1.623 4.231" Properties=species:S:1:pos:R:3 pbc="T T T"
Hg 0.000 0.000 0.000
Pm -1.832 0.616 2.267
Ta -5.497 1.849 6.801
```

=====

First-principles (PBE) data for a relaxed structure of TbPmHg, as listed in the Open Quantum Materials Database.

Distance to the lowest polymorph of the same formula, meV/atom: 0.0
M_tot, μB per atom: 0.071
DFT formation energy, meV/atom: -100

Geometry as extended XYZ:
```
3
Lattice="3.169 -2.211 3.421 2.475 2.903 3.475 -1.336 -0.234 4.979" Properties=species:S:1:pos:R:3 pbc="T T T"
Hg 0.000 0.000 0.000
Pm 1.077 0.115 2.969
Tb 3.231 0.344 8.907
```

=====

First-principles (PBE) data for a relaxed structure of PmTcHg, as listed in the Open Quantum Materials Database.

M_tot, μB per atom: 0.492
DFT formation energy, meV/atom: 634

Geometry as extended XYZ:
```
3
Lattice="0.000 3.391 3.391 3.391 0.000 3.391 3.391 3.391 0.000" Properties=species:S:1:pos:R:3 pbc="T T T"
Hg 0.000 0.000 0.000
Pm 1.696 1.696 1.696
Tc 5.087 5.087 5.087
```

=====

First-principles (PBE) data for a relaxed structure of PmHg2Te, as listed in the Open Quantum Materials Database.

M_tot, μB per atom: 0.004
Energy, eV per atom: -2.87

Geometry as extended XYZ:
```
8
Lattice="4.409 0.000 0.000 0.000 4.387 0.000 -2.188 0.000 11.491" Properties=species:S:1:pos:R:3 pbc="T T T"
Hg 0.011 3.290 1.257
Hg 2.215 1.097 1.288
Hg 0.006 3.290 10.203
Hg 2.210 1.097 10.234
Pm 0.012 1.097 3.749
Pm 2.209 3.290 7.742
Te 2.215 3.290 4.485
Te 0.006 1.097 7.006
```

=====

First-principles (PBE) data for a relaxed structure of Pm3TlHg5, as listed in the Open Quantum Materials Database.

M_tot, μB per atom: 0.000
Energy, eV per atom: -2.44

Geometry as extended XYZ:
```
18
Lattice="9.126 0.000 0.000 -4.563 7.903 0.000 0.000 0.000 6.515" Properties=species:S:1:pos:R:3 pbc="T T T"
Hg 4.563 2.634 0.000
Hg 0.000 5.269 0.000
Hg 6.071 0.000 1.629
Hg 1.527 2.645 1.629
Hg -3.036 5.258 1.629
Hg 4.563 2.634 3.258
Hg 0.000 5.269 3.258
Hg 3.055 0.000 4.886
Hg -1.527 2.645 4.886
Hg 3.036 5.258 4.886
Pm 3.059 0.000 1.629
Pm -1.529 2.649 1.629
Pm 3.034 5.254 1.629
Pm 6.067 0.000 4.886
Pm 1.529 2.649 4.886
Pm -3.034 5.254 4.886
Tl 0.000 0.000 0.000
Tl 0.000 0.000 3.258
```

=====

First-principles (PBE) data for a relaxed structure of PmTlHg, as listed in the Open Quantum Materials Database.

Distance to the lowest polymorph of the same formula, meV/atom: 0.0
M_tot, μB per atom: 0.001

Geometry as extended XYZ:
```
6
Lattice="2.655 -4.598 0.000 2.655 4.598 0.000 0.000 0.000 6.581" Properties=species:S:1:pos:R:3 pbc="T T T"
Hg 2.655 -3.065 1.645
Hg 2.655 3.065 4.935
Pm 2.655 3.066 1.645
Pm 2.655 -3.066 4.935
Tl 2.655 0.000 0.000
Tl 2.655 0.000 3.290
```